The following is a PBE calculation of a geometry-optimized BaPu2Ru structure, from the Alexandria database.

E_form: 15.6 kJ/mol of atoms
Crystal system: tetragonal

Unit cell a=3.445 b=3.445 c=9.829 alpha=90.00 beta=90.00 gamma=90.00
Space group P4/mmm (No. 123)
Unique sites:
Ba (0.000, 0.000, 0.000) [1 per cell]
Pu (0.500, 0.500, 0.334) [2 per cell]
Ru (0.000, 0.000, 0.500) [1 per cell]